# CaY2Cr

A geometry-optimized CaY2Cr structure (PBE, Alexandria via LeMat-Bulk).

## Properties
Its density of states at the Fermi level is 7.9 states/eV/cell. The offset from the most stable computed form comes out at 81 meV/atom.

Cell lengths 3.714, 5.569, 11.252 Å; angles 90.00, 90.00, 90.00 degrees
Space group Immm (No. 71)
Asymmetric unit:
Ca 0.000 0.000 0.000 [2 per cell]
Y 0.000 0.500 0.208 [4 per cell]
Cr 0.000 0.000 0.500 [2 per cell]

***

# Ca2YCr2

A geometry-optimized Ca2YCr2 structure (PBE, Alexandria via LeMat-Bulk).

## Properties
Its density of states at the Fermi level is 12.1 states/eV/cell. The offset from the most stable computed form comes out at 0 meV/atom.

Cell lengths 8.541, 8.541, 3.562 Å; angles 90.00, 90.00, 90.00 degrees
Space group P4/mbm (No. 127)
Asymmetric unit:
Ca 0.202 0.298 0.000 [4 per cell]
Y 0.000 0.000 0.500 [2 per cell]
Cr 0.074 0.574 0.500 [4 per cell]

***

# CaY2Cr

A geometry-optimized CaY2Cr structure (PBE, Alexandria via LeMat-Bulk).

## Properties
Its density of states at the Fermi level is 9.8 states/eV/cell. The offset from the most stable computed form comes out at 261 meV/atom.

Cell lengths 6.657, 11.189, 3.405 Å; angles 90.00, 111.90, 90.00 degrees
Space group C2/m (No. 12)
Asymmetric unit:
Ca 0.000 0.000 0.000 [2 per cell]
Y 0.250 0.250 0.500 [4 per cell]
Cr 0.000 0.500 0.000 [2 per cell]

***

# CaY2Cr

A geometry-optimized CaY2Cr structure (PBE, Alexandria via LeMat-Bulk).

## Properties
Its density of states at the Fermi level is 14.1 states/eV/cell. The offset from the most stable computed form comes out at 128 meV/atom.

Cell lengths 7.662, 7.662, 7.662 Å; angles 90.00, 90.00, 90.00 degrees
Space group Fm-3m (No. 225)
Asymmetric unit:
Ca 0.000 0.000 0.000 [4 per cell]
Y 0.250 0.250 0.250 [8 per cell]
Cr 0.000 0.000 0.500 [4 per cell]